[1]
SbIrI2O | PBE | optimized geometry

Cell: 5.7455 5.7455 3.7459 Å, 90.00 90.00 90.00°
Closest atoms and distances in Å follow each position.
Space group P4/mmm (No. 123)
One atom of each set of equivalent atoms:
1 Sb 0.0000 0.0000 0.0000 x1  8 I 3.43, 2 Sb 3.75
2 Ir 0.5000 0.5000 0.5000 x1  2 O 1.87
3 I 0.0000 0.5000 0.5000 x2  2 Ir 2.87
4 O 0.5000 0.5000 0.0000 x1  2 Ir 1.87

* energy relative to the elements, uncorrected: 55 kJ/mol of formula units

[2]
CrW | PBE | optimized geometry

Cell: 4.8642 4.8642 4.8642 Å, 90.00 90.00 90.00°
Closest atoms and distances in Å follow each position.
Space group P2_13 (No. 198)
One atom of each set of equivalent atoms:
1 Cr 0.0937 0.4063 0.5937 x4  7 W 2.59-2.62
2 W 0.0954 0.9046 0.4046 x4  7 Cr 2.59-2.62

* total DFT energy (no corrections): -10.92 eV per atom

[3]
TmPuThAg | PBE | optimized geometry

Cell: 7.4588 7.4588 7.4588 Å, 90.00 90.00 90.00°
Closest atoms and distances in Å follow each position.
Space group F-43m (No. 216)
One atom of each set of equivalent atoms:
1 Tm 0.0000 0.0000 0.0000 x4  4 Pu 3.23, 4 Ag 3.23
2 Pu 0.2500 0.2500 0.2500 x4  4 Th 3.23, 4 Tm 3.23
3 Th 0.0000 0.0000 0.5000 x4  4 Ag 3.23, 4 Pu 3.23
4 Ag 0.2500 0.2500 0.7500 x4  4 Th 3.23, 4 Tm 3.23

* total DFT energy (no corrections): -7.13 eV per atom

[4]
Ca2FeB | PBE | optimized geometry

Cell: 10.1158 10.1158 3.8601 Å, 90.00 90.00 90.00°
Closest atoms and distances in Å follow each position.
Space group I-42d (No. 122)
One atom of each set of equivalent atoms:
1 Ca 0.0648 0.2500 0.1250 x8  2 B 2.66
2 Fe 0.0000 0.0000 0.5000 x4  2 B 1.93
3 B 0.0000 0.0000 0.0000 x4  2 Fe 1.93

* total DFT energy (no corrections): -4.50 eV per atom

[5]
Mn3V4Ru | PBE | optimized geometry

Cell: 2.9132 4.1353 8.1937 Å, 90.00 90.00 90.00°
Closest atoms and distances in Å follow each position.
Space group Pmmm (No. 47)
One atom of each set of equivalent atoms:
1 Mn 0.0000 0.0000 0.0000 x1  8 V 2.44-2.53
2 Mn 0.0000 0.5000 0.2480 x2  8 V 2.50-2.53
3 V 0.5000 0.0000 0.2386 x2  6 Mn 2.44-2.53, 2 Ru 2.59
4 V 0.5000 0.5000 0.0000 x1  8 Mn 2.50-2.53
5 V 0.5000 0.5000 0.5000 x1  4 Mn 2.53, 4 Ru 2.53
6 Ru 0.0000 0.0000 0.5000 x1  8 V 2.53-2.59

* total DFT energy (no corrections): -9.43 eV per atom

[6]
RhSe4 | PBE | optimized geometry

Cell: 6.0368 6.0368 6.0368 Å, 90.00 90.00 90.00°
Closest atoms and distances in Å follow each position.
Space group Im-3m (No. 229)
One atom of each set of equivalent atoms:
1 Rh 0.0000 0.0000 0.0000 x2  8 Se 2.61
2 Se 0.2500 0.2500 0.2500 x8  2 Rh 2.61

* energy relative to the elements, uncorrected: 127 kJ/mol of formula units

[7]
In8AgSn2 | PBE | optimized geometry

Cell: 17.8868 5.1525 6.6887 Å, 90.00 103.98 90.00°
Closest atoms and distances in Å follow each position.
Space group C2/m (No. 12)
One atom of each set of equivalent atoms:
1 In 0.0021 0.0000 0.2518 x4  2 Ag 3.07, 1 Sn 3.19, 4 In 3.30-3.35
2 In 0.1153 0.5000 0.7701 x4  1 Ag 2.85, 2 Sn 3.16, 1 In 3.19
3 In 0.1495 0.5000 0.2897 x4  1 Ag 2.90, 3 Sn 3.15-3.18, 2 In 3.20
4 In 0.2014 0.0000 0.0733 x4  7 In 3.19-3.41, 2 Sn 3.29-3.50
5 Ag 0.0000 0.5000 0.0000 x2  8 In 2.85-3.07
6 Sn 0.1674 0.0000 0.5673 x4  8 In 3.15-3.50

* total DFT energy (no corrections): -2.94 eV per atom

[8]
Pm5Pr4Mg2 | PBE | optimized geometry

Cell: 23.0465 3.5976 8.9182 Å, 90.00 93.34 90.00°
Closest atoms and distances in Å follow each position.
Space group C2/m (No. 12)
One atom of each set of equivalent atoms:
1 Pm 0.0000 0.0000 0.0000 x2  2 Mg 3.49, 6 Pm 3.54-3.60, 4 Pr 3.61
2 Pm 0.1285 0.5000 0.1020 x4  5 Pm 3.44-3.60, 2 Mg 3.50, 4 Pr 3.66-3.70
3 Pm 0.1836 0.5000 0.4686 x4  5 Pm 3.44-3.60, 4 Pr 3.47-3.66, 2 Mg 3.51
4 Pr 0.0708 0.5000 0.7107 x4  4 Pm 3.47-3.66, 4 Mg 3.48-3.51, 4 Pr 3.60-3.81
5 Pr 0.2124 0.0000 0.8230 x4  6 Pr 3.60-3.94, 6 Pm 3.64-3.70
6 Mg 0.0563 0.0000 0.3721 x4  4 Pr 3.48-3.51, 5 Pm 3.49-3.51, 3 Mg 3.55-3.60

* total DFT energy (no corrections): -4.14 eV per atom